A geometry-optimized LaSm2Pb2 structure. Source: Alexandria, functional PBE-GGA.

Summary:
- total magnetization (μB per atom) = 0.0000
- formation energy from the elements (eV/atom) = -0.36
- SG = P2_1/m, No. 11
- uncorrected energy (Ry/atom) = -0.34647
- V (Å³/cell) = 331

Cell lengths 3.653, 6.221, 14.754 Å; angles 80.40, 90.00, 90.00 degrees
Fractional coordinates of all 10 atoms:
La  0.250  0.664  0.282
La  0.750  0.336  0.718
Sm  0.250  0.783  0.911
Sm  0.750  0.217  0.089
Sm  0.250  0.247  0.491
Sm  0.750  0.753  0.509
Pb  0.250  0.864  0.687
Pb  0.750  0.136  0.313
Pb  0.250  0.285  0.906
Pb  0.750  0.715  0.094